# 1
A plane-wave DFT calculation with PBE-GGA was carried out for a relaxed structure of Tb6Pr12Tm.

Cell and atoms, written as POSCAR:
```
Tb6Pr12Tm
1.0
6.131 3.540 5.140
-6.131 3.540 5.140
0.000 -7.079 5.140
Tb Pr Tm
6 12 1
Direct
0.205 0.599 0.759 Tb
0.241 0.795 0.401 Tb
0.401 0.241 0.795 Tb
0.599 0.759 0.205 Tb
0.759 0.205 0.599 Tb
0.795 0.401 0.241 Tb
0.036 0.282 0.933 Pr
0.067 0.964 0.718 Pr
0.137 0.308 0.482 Pr
0.282 0.933 0.036 Pr
0.308 0.482 0.137 Pr
0.482 0.137 0.308 Pr
0.518 0.863 0.692 Pr
0.692 0.518 0.863 Pr
0.718 0.067 0.964 Pr
0.863 0.692 0.518 Pr
0.933 0.036 0.282 Pr
0.964 0.718 0.067 Pr
0.500 0.500 0.500 Tm
```

Computed properties:
The space group is R-3, No. 148. The value obtained for the density of states at the Fermi level is 31.956 states/eV/cell. The calculation puts the density at 6.98 g/cm3. The value obtained for the energy is -4.588 eV per atom.

# 2
A plane-wave DFT calculation with PBE-GGA was carried out for a relaxed structure of Tb2PrTm8.

Cell and atoms, written as POSCAR:
```
Tb2PrTm8
1.0
8.981 -2.490 0.000
8.981 2.490 0.000
-2.074 0.000 7.597
Tb Pr Tm
2 1 8
Direct
0.228 0.228 0.137 Tb
0.772 0.772 0.863 Tb
0.500 0.500 0.500 Pr
0.045 0.045 0.226 Tm
0.137 0.137 0.683 Tm
0.318 0.318 0.592 Tm
0.409 0.409 0.043 Tm
0.591 0.591 0.957 Tm
0.682 0.682 0.408 Tm
0.863 0.863 0.317 Tm
0.955 0.955 0.774 Tm
```

Computed properties:
The space group is C2/m, No. 12. The value obtained for the density of states at the Fermi level is 14.753 states/eV/cell. The calculation puts the density at 8.85 g/cm3. The value obtained for the energy is -4.502 eV per atom.

# 3
A plane-wave DFT calculation with PBE-GGA was carried out for a relaxed structure of Tb2PrTm8.

Cell and atoms, written as POSCAR:
```
Tb2PrTm8
1.0
-2.709 4.011 7.973
2.709 -4.011 7.973
2.709 4.011 -7.973
Tb Pr Tm
2 1 8
Direct
0.200 0.200 0.000 Tb
0.800 0.800 0.000 Tb
0.500 0.500 0.000 Pr
0.067 0.359 0.708 Tm
0.205 0.000 0.205 Tm
0.337 0.837 0.500 Tm
0.348 0.641 0.708 Tm
0.652 0.359 0.292 Tm
0.663 0.163 0.500 Tm
0.795 0.000 0.795 Tm
0.933 0.641 0.292 Tm
```

Computed properties:
The space group is Immm, No. 71. The value obtained for the density of states at the Fermi level is 13.599 states/eV/cell. The calculation puts the density at 8.67 g/cm3. The value obtained for the energy is -4.412 eV per atom.

# 4
A plane-wave DFT calculation with PBE-GGA was carried out for a relaxed structure of Tb3Pr6Tm.

Cell and atoms, written as POSCAR:
```
Tb3Pr6Tm
1.0
5.550 0.000 0.000
0.000 10.257 0.000
-0.011 0.000 12.448
Tb Pr Tm
6 12 2
Direct
0.000 0.000 0.000 Tb
0.000 0.146 0.403 Tb
0.000 0.354 0.903 Tb
0.000 0.500 0.500 Tb
0.000 0.646 0.097 Tb
0.000 0.854 0.597 Tb
0.000 0.180 0.671 Pr
0.000 0.320 0.171 Pr
0.000 0.680 0.829 Pr
0.000 0.820 0.329 Pr
0.500 0.056 0.227 Pr
0.500 0.187 0.975 Pr
0.500 0.313 0.475 Pr
0.500 0.444 0.727 Pr
0.500 0.556 0.273 Pr
0.500 0.687 0.525 Pr
0.500 0.813 0.025 Pr
0.500 0.944 0.773 Pr
0.500 0.000 0.500 Tm
0.500 0.500 0.000 Tm
```

Computed properties:
The space group is P2_1/c, No. 14. The value obtained for the density of states at the Fermi level is 29.568 states/eV/cell. The calculation puts the density at 6.99 g/cm3. The value obtained for the energy is -4.506 eV per atom.

# 5
A plane-wave DFT calculation with PBE-GGA was carried out for a relaxed structure of TbPr3Tm2.

Cell and atoms, written as POSCAR:
```
TbPr3Tm2
1.0
7.542 -5.021 0.000
7.542 5.021 0.000
0.000 0.000 5.664
Tb Pr Tm
2 6 4
Direct
0.226 0.774 0.750 Tb
0.774 0.226 0.250 Tb
0.124 0.389 0.250 Pr
0.389 0.124 0.750 Pr
0.412 0.588 0.250 Pr
0.588 0.412 0.750 Pr
0.611 0.876 0.250 Pr
0.876 0.611 0.750 Pr
0.008 0.202 0.750 Tm
0.202 0.008 0.250 Tm
0.798 0.992 0.750 Tm
0.992 0.798 0.250 Tm
```

Computed properties:
The space group is Cmcm, No. 63. The value obtained for the density of states at the Fermi level is 18.718 states/eV/cell. The calculation puts the density at 7.12 g/cm3. The value obtained for the energy is -4.376 eV per atom.

# 6
A plane-wave DFT calculation with PBE-GGA was carried out for a relaxed structure of Tb5Pr2Tm3.

Cell and atoms, written as POSCAR:
```
Tb5Pr2Tm3
1.0
-4.696 10.857 3.394
4.696 -10.857 3.394
4.696 10.857 -3.394
Tb Pr Tm
10 4 6
Direct
0.001 0.250 0.751 Tb
0.125 0.089 0.214 Tb
0.250 0.250 0.000 Tb
0.375 0.589 0.964 Tb
0.499 0.250 0.249 Tb
0.501 0.750 0.751 Tb
0.625 0.411 0.036 Tb
0.750 0.750 0.000 Tb
0.875 0.911 0.786 Tb
0.999 0.750 0.249 Tb
0.124 0.396 0.520 Pr
0.376 0.896 0.272 Pr
0.624 0.104 0.728 Pr
0.876 0.604 0.480 Pr
0.123 0.749 0.872 Tm
0.250 0.750 0.500 Tm
0.377 0.249 0.627 Tm
0.623 0.751 0.373 Tm
0.750 0.250 0.500 Tm
0.877 0.251 0.128 Tm
```

Computed properties:
The space group is Ibam, No. 72. The value obtained for the density of states at the Fermi level is 29.729 states/eV/cell. The calculation puts the density at 7.60 g/cm3. The value obtained for the energy is -4.204 eV per atom.

# 7
A plane-wave DFT calculation with PBE-GGA was carried out for a relaxed structure of Tb4Pr15Tm.

Cell and atoms, written as POSCAR:
```
Tb4Pr15Tm
1.0
5.202 0.000 0.000
0.000 5.202 0.000
0.000 0.000 25.882
Tb Pr Tm
4 15 1
Direct
0.000 0.000 0.100 Tb
0.000 0.000 0.301 Tb
0.000 0.000 0.699 Tb
0.000 0.000 0.900 Tb
0.000 0.500 0.000 Pr
0.000 0.500 0.200 Pr
0.000 0.500 0.401 Pr
0.000 0.500 0.599 Pr
0.000 0.500 0.800 Pr
0.500 0.000 0.000 Pr
0.500 0.000 0.200 Pr
0.500 0.000 0.401 Pr
0.500 0.000 0.599 Pr
0.500 0.000 0.800 Pr
0.500 0.500 0.100 Pr
0.500 0.500 0.301 Pr
0.500 0.500 0.500 Pr
0.500 0.500 0.699 Pr
0.500 0.500 0.900 Pr
0.000 0.000 0.500 Tm
```

Computed properties:
The space group is P4/mmm, No. 123. The value obtained for the density of states at the Fermi level is 27.735 states/eV/cell. The calculation puts the density at 6.92 g/cm3. The value obtained for the energy is -4.724 eV per atom.

# 8
A plane-wave DFT calculation with PBE-GGA was carried out for a relaxed structure of Tb2Pr5Tm.

Cell and atoms, written as POSCAR:
```
Tb2Pr5Tm
1.0
4.588 -10.734 0.000
4.588 10.734 0.000
-2.782 0.000 5.748
Tb Pr Tm
4 10 2
Direct
0.000 0.000 0.000 Tb
0.000 0.000 0.500 Tb
0.000 0.500 0.000 Tb
0.500 0.000 0.500 Tb
0.080 0.346 0.386 Pr
0.134 0.866 0.250 Pr
0.309 0.452 0.941 Pr
0.346 0.080 0.886 Pr
0.452 0.309 0.441 Pr
0.548 0.691 0.559 Pr
0.654 0.920 0.114 Pr
0.691 0.548 0.059 Pr
0.866 0.134 0.750 Pr
0.920 0.654 0.614 Pr
0.271 0.729 0.750 Tm
0.729 0.271 0.250 Tm
```

Computed properties:
The space group is C2/c, No. 15. The value obtained for the density of states at the Fermi level is 27.047 states/eV/cell. The calculation puts the density at 6.99 g/cm3. The value obtained for the energy is -4.467 eV per atom.

# 9
A plane-wave DFT calculation with PBE-GGA was carried out for a relaxed structure of TbPrTm3.

Cell and atoms, written as POSCAR:
```
TbPrTm3
1.0
6.267 0.000 0.000
0.000 5.639 0.000
-3.125 0.000 9.045
Tb Pr Tm
2 2 6
Direct
0.035 0.250 0.400 Tb
0.965 0.750 0.600 Tb
0.433 0.250 0.200 Pr
0.567 0.750 0.800 Pr
0.163 0.750 0.999 Tm
0.232 0.250 0.799 Tm
0.365 0.750 0.401 Tm
0.635 0.250 0.599 Tm
0.768 0.750 0.201 Tm
0.837 0.250 0.001 Tm
```

Computed properties:
The space group is P2_1/m, No. 11. The value obtained for the density of states at the Fermi level is 15.238 states/eV/cell. The calculation puts the density at 8.38 g/cm3. The value obtained for the energy is -4.554 eV per atom.

# 10
A plane-wave DFT calculation with PBE-GGA was carried out for a relaxed structure of Tb2PrTm5.

Cell and atoms, written as POSCAR:
```
Tb2PrTm5
1.0
-3.539 3.539 4.962
3.539 -3.539 4.962
3.539 3.539 -4.962
Tb Pr Tm
2 1 5
Direct
0.000 0.500 0.500 Tb
0.500 0.000 0.500 Tb
0.000 0.000 0.000 Pr
0.000 0.000 0.500 Tm
0.000 0.500 0.000 Tm
0.500 0.000 0.000 Tm
0.500 0.500 0.000 Tm
0.500 0.500 0.500 Tm
```

Computed properties:
The space group is I4mm, No. 107. The value obtained for the density of states at the Fermi level is 10.857 states/eV/cell. The calculation puts the density at 8.71 g/cm3. The value obtained for the energy is -4.526 eV per atom.

# 11
A plane-wave DFT calculation with PBE-GGA was carried out for a relaxed structure of Tb12PrTm7.

Cell and atoms, written as POSCAR:
```
Tb12PrTm7
1.0
-5.659 5.659 5.659
5.659 -5.659 5.659
5.659 5.659 -5.659
Tb Pr Tm
12 1 7
Direct
0.000 0.259 0.741 Tb
0.000 0.741 0.259 Tb
0.259 0.000 0.741 Tb
0.259 0.259 0.517 Tb
0.259 0.517 0.259 Tb
0.259 0.741 0.000 Tb
0.483 0.741 0.741 Tb
0.517 0.259 0.259 Tb
0.741 0.000 0.259 Tb
0.741 0.259 0.000 Tb
0.741 0.483 0.741 Tb
0.741 0.741 0.483 Tb
0.000 0.000 0.000 Pr
0.000 0.000 0.500 Tm
0.000 0.500 0.000 Tm
0.000 0.500 0.500 Tm
0.500 0.000 0.000 Tm
0.500 0.000 0.500 Tm
0.500 0.500 0.000 Tm
0.500 0.500 0.500 Tm
```

Computed properties:
The space group is Im-3m, No. 229. The value obtained for the density of states at the Fermi level is 25.026 states/eV/cell. The calculation puts the density at 7.40 g/cm3. The value obtained for the energy is -3.876 eV per atom.

# 12
A plane-wave DFT calculation with PBE-GGA was carried out for a relaxed structure of Tb8Pr2Tm.

Cell and atoms, written as POSCAR:
```
Tb8Pr2Tm
1.0
4.526 -8.081 0.000
4.526 8.081 0.000
-3.198 0.000 4.981
Tb Pr Tm
8 2 1
Direct
0.099 0.328 0.673 Tb
0.207 0.793 0.000 Tb
0.328 0.099 0.673 Tb
0.424 0.424 0.203 Tb
0.576 0.576 0.797 Tb
0.672 0.901 0.327 Tb
0.793 0.207 0.000 Tb
0.901 0.672 0.327 Tb
0.307 0.693 0.500 Pr
0.693 0.307 0.500 Pr
0.000 0.000 0.000 Tm
```

Computed properties:
The space group is C2/m, No. 12. The value obtained for the density of states at the Fermi level is 14.597 states/eV/cell. The calculation puts the density at 7.85 g/cm3. The value obtained for the energy is -4.488 eV per atom.